## VHNF2 (GGA+U)

Data for a relaxed structure of VHNF2.

Results
- Excess energy over the best structure of this formula in the dataset: 0.00 kJ per mole of atoms
- DOS(E_F): 0.024 states/eV/atom

The structure in POSCAR format:
```
VHNF2
1.0
3.937 0.000 0.000
0.000 3.937 0.000
0.000 0.000 3.888
H N F V
1 1 2 1
Direct
0.500 0.500 0.500
0.000 0.000 0.500
0.000 0.500 0.000
0.500 0.000 0.000
0.000 0.000 0.000
```